Here is a crystal of MgHg3 relaxed with PBEsol from Alexandria via LeMat-Bulk. Energies are from SCAN.

Calculated values
energy of formation from the pure elements = -0.13 eV per atom
calculated total energy = -52.500 eV per atom
space-group type = No. 166

Geometry as extended XYZ:
```
4
Lattice="3.3812 0.0000 0.0000 1.6906 2.9282 0.0000 1.6906 0.9761 8.9332" Properties=species:S:1:pos:R:3 pbc="T T T"
Mg 0.0000 0.0000 0.0000
Hg 1.6906 0.9761 2.1505
Hg 3.3812 1.9522 4.4666
Hg 5.0719 2.9282 6.7826
```